This record from Alexandria via LeMat-Bulk describes a relaxed structure of YMgZn. The functional is GGA-PBEsol.

Unit cell a=4.1293 b=7.4386 c=7.4386 alpha=120.00 beta=90.00 gamma=90.00
Sites, in units of the cell vectors:
Mg (0.5000, 0.7534, 0.7534)
Mg (0.5000, 0.0000, 0.2466)
Mg (0.5000, 0.2466, 0.0000)
Y (0.0000, 0.4117, 0.4117)
Y (0.0000, 0.0000, 0.5883)
Y (0.0000, 0.5883, 0.0000)
Zn (0.5000, 0.6667, 0.3333)
Zn (0.5000, 0.3333, 0.6667)
Zn (0.0000, 0.0000, 0.0000)

Calculated values
Polymorph energy (0 for the lowest one) (eV per formula unit): 0.00



This record from Alexandria via LeMat-Bulk describes a relaxed structure of YMg2Zn2. The functional is GGA-PBEsol.

Unit cell a=4.1478 b=4.1478 c=6.6482 alpha=108.18 beta=108.18 gamma=90.00
Sites, in units of the cell vectors:
Y (0.0000, 0.0000, 0.0000)
Zn (0.3995, 0.3995, 0.7990)
Zn (0.6005, 0.6005, 0.2010)
Mg (0.2500, 0.7500, 0.5000)
Mg (0.7500, 0.2500, 0.5000)



This record from Alexandria via LeMat-Bulk describes a relaxed structure of YMg2Zr. The functional is GGA-PBEsol.

Unit cell a=3.4195 b=5.3109 c=6.1109 alpha=115.76 beta=106.25 gamma=90.00
Sites, in units of the cell vectors:
Mg (0.0073, 0.0073, 0.0147)
Mg (0.7352, 0.2352, 0.4704)
Y (0.4993, 0.4993, 0.9986)
Zr (0.2582, 0.7582, 0.5163)

Calculated values
Polymorph energy (0 for the lowest one) (eV per formula unit): 0.34



This record from Alexandria via LeMat-Bulk describes a relaxed structure of YMg2Zr. The functional is GGA-PBEsol.

Unit cell a=3.2993 b=3.2993 c=8.9305 alpha=90.00 beta=90.00 gamma=90.00
Sites, in units of the cell vectors:
Y (0.0000, 0.0000, 0.5070)
Mg (0.0000, 0.0000, 0.0009)
Mg (0.5000, 0.5000, 0.2312)
Zr (0.5000, 0.5000, 0.7609)

Calculated values
Polymorph energy (0 for the lowest one) (eV per formula unit): 0.00



This record from Alexandria via LeMat-Bulk describes a relaxed structure of YMg2Zr. The functional is GGA-PBEsol.

Unit cell a=3.0521 b=5.7727 c=6.2723 alpha=115.13 beta=100.14 gamma=98.40
Sites, in units of the cell vectors:
Mg (0.5000, 0.5000, 0.5000)
Mg (0.0000, 0.0000, 0.5000)
Y (0.0000, 0.5000, 0.0000)
Zr (0.5000, 0.0000, 0.0000)

Calculated values
Polymorph energy (0 for the lowest one) (eV per formula unit): 0.54



This record from Alexandria via LeMat-Bulk describes a relaxed structure of Y2MgZr. The functional is GGA-PBEsol.

Unit cell a=3.3984 b=3.3984 c=9.1518 alpha=90.00 beta=90.00 gamma=90.00
Sites, in units of the cell vectors:
Y (0.0000, 0.0000, 0.7565)
Y (0.0000, 0.0000, 0.2435)
Mg (0.5000, 0.5000, 0.5000)
Zr (0.5000, 0.5000, 0.0000)



This record from Alexandria via LeMat-Bulk describes a relaxed structure of Y2MgZr. The functional is GGA-PBEsol.

Unit cell a=4.6439 b=4.6439 c=5.7966 alpha=113.61 beta=113.61 gamma=90.00
Sites, in units of the cell vectors:
Mg (0.2500, 0.7500, 0.5000)
Y (0.0000, 0.0000, 0.0000)
Y (0.7500, 0.2500, 0.5000)
Zr (0.5000, 0.5000, 0.0000)



This record from Alexandria via LeMat-Bulk describes a relaxed structure of Mg3Zn. The functional is GGA-PBEsol.

Unit cell a=5.4097 b=5.4097 c=5.4097 alpha=90.00 beta=90.00 gamma=90.00
Sites, in units of the cell vectors:
Zn (0.0000, 0.0000, 0.0000)
Zn (0.5000, 0.5000, 0.5000)
Mg (0.0000, 0.2500, 0.5000)
Mg (0.0000, 0.7500, 0.5000)
Mg (0.2500, 0.5000, 0.0000)
Mg (0.5000, 0.0000, 0.2500)
Mg (0.5000, 0.0000, 0.7500)
Mg (0.7500, 0.5000, 0.0000)



This record from Alexandria via LeMat-Bulk describes a relaxed structure of MgZn2. The functional is GGA-PBEsol.

Unit cell a=4.0762 b=5.7478 c=8.2863 alpha=90.00 beta=90.00 gamma=90.00
Sites, in units of the cell vectors:
Mg (0.7500, 0.8657, 0.0926)
Mg (0.2500, 0.6343, 0.5926)
Mg (0.7500, 0.3657, 0.4074)
Mg (0.2500, 0.1343, 0.9074)
Zn (0.7500, 0.8892, 0.7437)
Zn (0.7500, 0.8746, 0.4241)
Zn (0.2500, 0.6254, 0.9241)
Zn (0.2500, 0.6108, 0.2437)
Zn (0.7500, 0.3892, 0.7563)
Zn (0.7500, 0.3746, 0.0759)
Zn (0.2500, 0.1254, 0.5759)
Zn (0.2500, 0.1108, 0.2563)



This record from Alexandria via LeMat-Bulk describes a relaxed structure of Mg3Zn. The functional is GGA-PBEsol.

Unit cell a=3.1034 b=3.1034 c=8.2756 alpha=90.00 beta=90.00 gamma=90.00
Sites, in units of the cell vectors:
Zn (0.0000, 0.0000, 0.0000)
Mg (0.0000, 0.0000, 0.5000)
Mg (0.5000, 0.5000, 0.2170)
Mg (0.5000, 0.5000, 0.7830)



This record from Alexandria via LeMat-Bulk describes a relaxed structure of Mg5Zn3. The functional is GGA-PBEsol.

Unit cell a=4.4708 b=5.8349 c=5.8349 alpha=102.65 beta=90.00 gamma=90.00
Sites, in units of the cell vectors:
Mg (0.0000, 0.0000, 0.0000)
Mg (0.0000, 0.0000, 0.5000)
Mg (0.0000, 0.5000, 0.0000)
Mg (0.5000, 0.2839, 0.2839)
Mg (0.5000, 0.7161, 0.7161)
Zn (0.0000, 0.5000, 0.5000)
Zn (0.5000, 0.7765, 0.2235)
Zn (0.5000, 0.2235, 0.7765)

Calculated values
Polymorph energy (0 for the lowest one) (eV per formula unit): 0.19



This record from Alexandria via LeMat-Bulk describes a relaxed structure of MgZn. The functional is GGA-PBEsol.

Unit cell a=5.2119 b=5.3971 c=5.2116 alpha=61.11 beta=60.00 gamma=61.13
Sites, in units of the cell vectors:
Zn (0.6672, 0.0000, 0.0000)
Zn (0.1670, 0.0009, 0.4995)
Zn (0.6674, 0.9991, 0.5005)
Mg (0.0468, 0.3586, 0.8803)
Mg (0.2856, 0.6414, 0.1197)
Mg (0.6661, 0.5000, 0.5000)



This record from Alexandria via LeMat-Bulk describes a relaxed structure of Mg3Zn4. The functional is GGA-PBEsol.

Unit cell a=3.4370 b=3.4370 c=10.4622 alpha=99.45 beta=99.45 gamma=90.00
Sites, in units of the cell vectors:
Zn (0.1352, 0.1352, 0.2704)
Zn (0.4289, 0.4289, 0.8577)
Zn (0.5711, 0.5711, 0.1423)
Zn (0.8648, 0.8648, 0.7296)
Mg (0.0000, 0.0000, 0.0000)
Mg (0.2939, 0.2939, 0.5879)
Mg (0.7061, 0.7061, 0.4121)



This record from Alexandria via LeMat-Bulk describes a relaxed structure of Mg3Zn. The functional is GGA-PBEsol.

Unit cell a=3.1623 b=5.1521 c=5.7551 alpha=116.59 beta=105.95 gamma=90.00
Sites, in units of the cell vectors:
Zn (0.0000, 0.0092, 0.0000)
Mg (0.7306, 0.3726, 0.4612)
Mg (0.5000, 0.5400, 0.0000)
Mg (0.2694, 0.9115, 0.5388)



This record from Alexandria via LeMat-Bulk describes a relaxed structure of MgZn. The functional is GGA-PBEsol.

Unit cell a=5.2414 b=5.2414 c=5.2414 alpha=90.00 beta=90.00 gamma=90.00
Sites, in units of the cell vectors:
Mg (0.5979, 0.5979, 0.5979)
Mg (0.9021, 0.4021, 0.0979)
Mg (0.4021, 0.0979, 0.9021)
Mg (0.0979, 0.9021, 0.4021)
Zn (0.9010, 0.9010, 0.9010)
Zn (0.5990, 0.0990, 0.4010)
Zn (0.0990, 0.4010, 0.5990)
Zn (0.4010, 0.5990, 0.0990)



This record from Alexandria via LeMat-Bulk describes a relaxed structure of MgZn. The functional is GGA-PBEsol.

Unit cell a=2.9704 b=2.9704 c=8.0165 alpha=90.00 beta=90.00 gamma=90.00
Sites, in units of the cell vectors:
Zn (0.5000, 0.0000, 0.1021)
Zn (0.0000, 0.5000, 0.8979)
Mg (0.5000, 0.0000, 0.6530)
Mg (0.0000, 0.5000, 0.3470)



This record from Alexandria via LeMat-Bulk describes a relaxed structure of Mg3Zn5. The functional is GGA-PBEsol.

Unit cell a=4.0454 b=5.7182 c=5.7182 alpha=93.15 beta=90.00 gamma=90.00
Sites, in units of the cell vectors:
Mg (0.0000, 0.5000, 0.5000)
Mg (0.5000, 0.7615, 0.2385)
Mg (0.5000, 0.2385, 0.7615)
Zn (0.0000, 0.0000, 0.0000)
Zn (0.0000, 0.0000, 0.5000)
Zn (0.0000, 0.5000, 0.0000)
Zn (0.5000, 0.2509, 0.2509)
Zn (0.5000, 0.7491, 0.7491)



This record from Alexandria via LeMat-Bulk describes a relaxed structure of MgZn. The functional is GGA-PBEsol.

Unit cell a=3.0369 b=4.7721 c=4.8923 alpha=90.00 beta=90.00 gamma=90.00
Sites, in units of the cell vectors:
Zn (0.0000, 0.0000, 0.5930)
Zn (0.5000, 0.5000, 0.4070)
Mg (0.0000, 0.5000, 0.8980)
Mg (0.5000, 0.0000, 0.1020)



This record from Alexandria via LeMat-Bulk describes a relaxed structure of Mg3Zn. The functional is GGA-PBEsol.

Unit cell a=4.8430 b=5.3111 c=6.0805 alpha=90.00 beta=90.00 gamma=90.00
Sites, in units of the cell vectors:
Zn (0.0000, 0.6777, 0.0000)
Zn (0.5000, 0.3223, 0.5000)
Mg (0.5000, 0.3554, 0.0000)
Mg (0.0000, 0.1674, 0.7502)
Mg (0.5000, 0.8326, 0.7498)
Mg (0.0000, 0.6446, 0.5000)
Mg (0.0000, 0.1674, 0.2498)
Mg (0.5000, 0.8326, 0.2502)



This record from Alexandria via LeMat-Bulk describes a relaxed structure of MgZn. The functional is GGA-PBEsol.

Unit cell a=3.0078 b=4.6454 c=4.9212 alpha=90.00 beta=90.00 gamma=90.00
Sites, in units of the cell vectors:
Zn (0.0000, 0.2500, 0.3260)
Zn (0.0000, 0.7500, 0.6740)
Mg (0.5000, 0.2500, 0.8083)
Mg (0.5000, 0.7500, 0.1917)



In eV per atom, the energy of formation values for the records above are, in order, -0.29 -0.21 0.07 -0.01 0.12 -0.01 0.11 0.01 -0.03 -0.02 -0.03 -0.08 -0.01 -0.01 0.00 -0.01 -0.03 0.01 -0.02 -0.07.